No. 1
An optimized crystal structure of Li3Os. Source: the Alexandria database, functional GGA-PBE.

The structure belongs to space group I4/mmm (No. 139); the cell edges are 3.578, 3.578 and 8.262 Å and the angles 90.00°, 90.00° and 90.00°. The inequivalent atoms are Li at (0.000, 0.000, 0.000), Li at (0.000, 0.500, 0.250) and Os at (0.000, 0.000, 0.500).

The calculation puts the volume at 106 Å³ per cell. The value obtained for the energy above the most stable polymorph in this dataset is 451 meV per atom. The value obtained for the final energy is -29.44 eV/cell. Its energy of formation is 0.56 eV/atom.

=====

No. 2
An optimized crystal structure of Li3Os2. Source: the Alexandria database, functional GGA-PBE.

The structure belongs to space group R-3m (No. 166, hexagonal axes); the cell edges are 2.6457, 2.6457 and 35.2361 Å and the angles 90.00°, 90.00° and 120.00°. The inequivalent atoms are Li at (0.0000, 0.0000, 0.0000), Li at (0.0000, 0.0000, 0.2038) and Os at (0.0000, 0.0000, 0.3988).

The calculation puts the volume at 214 Å³ per cell. The value obtained for the final energy is -83.06 eV/cell. Its energy of formation is 0.10 eV/atom.

=====

No. 3
An optimized crystal structure of LiOs3. Source: the Alexandria database, functional GGA-PBE.

The structure belongs to space group Cmmm (No. 65); the cell edges are 2.760, 4.537 and 9.246 Å and the angles 90.00°, 90.00° and 90.00°. The inequivalent atoms are Li at (0.000, 0.000, 0.000), Os at (0.000, 0.000, 0.500) and Os at (0.000, 0.500, 0.250).

The calculation puts the volume at 116 Å³ per cell. The value obtained for the final energy is -67.28 eV/cell. Its energy of formation is 0.49 eV/atom.

=====

No. 4
An optimized crystal structure of LiOs. Source: the Alexandria database, functional GGA-PBE.

The structure belongs to space group P-3m1 (No. 164); the cell edges are 2.7337, 2.7337 and 9.3071 Å and the angles 90.00°, 90.00° and 120.00°. The inequivalent atoms are Li at (0.3333, 0.6667, 0.1414) and Os at (0.3333, 0.6667, 0.6121).

The calculation puts the volume at 60 Å³ per cell. The value obtained for the final energy is -25.50 eV/cell. Its energy of formation is 0.20 eV/atom.

=====

No. 5
An optimized crystal structure of LiOs. Source: the Alexandria database, functional GGA-PBE.

The structure belongs to space group P2_13 (No. 198); the cell edges are 4.625, 4.625 and 4.625 Å and the angles 90.00°, 90.00° and 90.00°. The inequivalent atoms are Li at (0.101, 0.399, 0.601) and Os at (0.107, 0.893, 0.393).

The calculation puts the volume at 99 Å³ per cell. The value obtained for the final energy is -47.08 eV/cell. Its energy of formation is 0.69 eV/atom.

=====

No. 6
An optimized crystal structure of LiOs3. Source: the Alexandria database, functional GGA-PBE.

The structure belongs to space group I4/mmm (No. 139); the cell edges are 3.800, 3.800 and 7.575 Å and the angles 90.00°, 90.00° and 90.00°. The inequivalent atoms are Li at (0.000, 0.000, 0.000), Os at (0.000, 0.000, 0.500) and Os at (0.000, 0.500, 0.250).

The calculation puts the volume at 109 Å³ per cell. The value obtained for the final energy is -68.15 eV/cell. Its energy of formation is 0.38 eV/atom.

=====

Number 5 is which compound?
LiOs